w | The following is a PBE calculation of crystalline PrSc2Sn at its relaxed geometry, from Alexandria.

Output
Density ... 5.32 g cm⁻³

Structure (POSCAR):
```
PrSc2Sn
1.0
3.3450 0.0000 0.0000
1.6725 2.8969 0.0000
1.6725 0.9656 11.2592
Pr Sc Sn
1 2 1
direct
0.0000 0.0000 0.0000
0.0958 0.0958 0.7127
0.9042 0.9042 0.2873
0.5000 0.5000 0.5000
```

x | The following is a PBE calculation of crystalline PrSc2Sn at its relaxed geometry, from Alexandria.

Output
Density ... 5.21 g cm⁻³

Structure (POSCAR):
```
PrSc2Sn
1.0
6.2729 1.1885 0.0000
-2.1163 3.6574 0.0000
0.0000 0.0000 8.7572
Pr Sc Sn
2 4 2
direct
0.6071 0.0535 0.2500
0.3929 0.9465 0.7500
0.2247 0.3623 0.0501
0.2247 0.3623 0.4499
0.7753 0.6377 0.9499
0.7753 0.6377 0.5501
0.0285 0.7642 0.2500
0.9715 0.2358 0.7500
```

Which of them is least stable? Easy: w.

w | The following is a PBE calculation of crystalline PrSc2Sn at its relaxed geometry, from Alexandria.

Output
Density ... 5.65 g cm⁻³

Structure (POSCAR):
```
PrSc2Sn
1.0
4.6067 0.0000 0.0000
0.0000 4.7211 0.0000
0.0000 0.0000 4.7211
Pr Sc Sn
1 2 1
direct
0.5000 0.0000 0.0000
0.0000 0.5000 0.0000
0.0000 0.0000 0.5000
0.5000 0.5000 0.5000
```

x | The following is a PBE calculation of crystalline PrSc2Sn at its relaxed geometry, from Alexandria.

Output
Density ... 5.53 g cm⁻³

Structure (POSCAR):
```
PrSc2Sn
1.0
-1.0313 3.5384 -0.0935
-3.5054 -1.0074 0.5382
1.0276 0.5012 7.6305
Pr Sc Sn
1 2 1
direct
0.5000 0.5000 0.5000
0.0000 0.0000 0.7889
0.0000 0.0000 0.2111
0.5000 0.5000 0.0000
```

Which of them is least stable? Easy: x.

w | The following is a PBE calculation of crystalline PrScSn2 at its relaxed geometry, from Alexandria.

Output
Density ... 6.30 g cm⁻³

Structure (POSCAR):
```
PrScSn2
1.0
4.3216 0.0000 0.0000
0.0000 8.6467 0.0000
0.0000 0.0000 11.9432
Sn Sc Pr
8 4 4
direct
0.2500 0.7499 0.9568
0.2500 0.6496 0.3030
0.7500 0.8504 0.8030
0.7500 0.2501 0.0432
0.2500 0.1496 0.1970
0.7500 0.3504 0.6970
0.2500 0.2499 0.5432
0.7500 0.7501 0.4568
0.7500 0.5215 0.8993
0.2500 0.9785 0.3993
0.7500 0.0215 0.6007
0.2500 0.4785 0.1007
0.7500 0.3617 0.3520
0.2500 0.6383 0.6480
0.2500 0.1383 0.8520
0.7500 0.8617 0.1480
```

x | The following is a PBE calculation of crystalline PrScSn2 at its relaxed geometry, from Alexandria.

Output
Density ... 6.32 g cm⁻³

Structure (POSCAR):
```
PrScSn2
1.0
4.8726 0.0000 0.0000
2.4363 4.2198 0.0000
2.4363 1.4066 5.4116
Sc Pr Sn
1 1 2
direct
0.5000 0.5000 0.5000
0.0000 0.0000 0.0000
0.2350 0.2350 0.2950
0.7650 0.7650 0.7050
```

Which of them is least stable? Easy: x.

w | The following is a PBE calculation of crystalline Tb8Pr2Sc3 at its relaxed geometry, from Alexandria.

Output
Density ... 6.64 g cm⁻³

Structure (POSCAR):
```
Tb8Pr2Sc3
1.0
-4.7108 -3.3898 -3.1213
4.7081 0.2020 -7.3252
1.6252 -5.8859 6.0607
Tb Sc Pr
8 3 2
direct
0.5778 0.2090 0.7840
0.1109 0.4116 0.8232
0.4222 0.4250 0.2160
0.4222 0.7910 0.2160
0.2099 0.8121 0.6242
0.5778 0.5750 0.7840
0.7901 0.1879 0.3758
0.8891 0.5884 0.1768
0.0000 0.1631 0.0000
0.5000 0.0000 0.0000
0.0000 0.8369 0.0000
0.2810 0.2060 0.4120
0.7190 0.7940 0.5880
```

x | The following is a PBE calculation of crystalline Tb8Pr2Sc3 at its relaxed geometry, from Alexandria.

Output
Density ... 6.89 g cm⁻³

Structure (POSCAR):
```
Tb8Pr2Sc3
1.0
5.7887 0.3269 1.3171
1.8950 8.3279 1.6682
0.8046 -0.4950 8.6507
Tb Sc Pr
8 3 2
direct
0.2239 0.5842 0.5842
0.3509 0.3881 0.9207
0.8897 0.1362 0.1362
0.6491 0.6119 0.0793
0.3509 0.9207 0.3881
0.6491 0.0793 0.6119
0.1103 0.8638 0.8638
0.7761 0.4158 0.4158
0.5000 0.0000 0.0000
0.0000 0.2611 0.7389
0.0000 0.7389 0.2611
0.6574 0.6814 0.6814
0.3426 0.3186 0.3186
```

Which of them is least stable? Easy: w.

w | The following is a PBE calculation of crystalline Tb3PrSc at its relaxed geometry, from Alexandria.

Output
Density ... 7.00 g cm⁻³

Structure (POSCAR):
```
Tb3PrSc
1.0
5.4077 0.0000 0.0000
0.0000 6.9907 -0.0006
-2.7039 0.0102 8.3203
Tb Pr Sc
6 2 2
direct
0.3872 0.9972 0.7744
0.2011 0.7525 0.4023
0.6128 0.0028 0.2256
0.9973 0.7541 0.9947
0.7989 0.2475 0.5977
0.0027 0.2459 0.0053
0.6128 0.4979 0.2257
0.3872 0.5021 0.7743
0.1993 0.2454 0.3987
0.8007 0.7546 0.6013
```

x | The following is a PBE calculation of crystalline Tb3PrSc at its relaxed geometry, from Alexandria.

Output
Density ... 6.98 g cm⁻³

Structure (POSCAR):
```
Tb3PrSc
1.0
5.9665 -0.9646 -1.4825
-2.8597 8.2135 -3.8568
-1.4660 -1.4054 8.1507
Tb Pr Sc
6 2 2
direct
0.7322 0.5535 0.2504
0.3400 0.7536 0.2525
0.1338 0.3426 0.2419
0.6600 0.2464 0.7475
0.2678 0.4465 0.7496
0.8662 0.6574 0.7581
0.5293 0.1524 0.2490
0.4707 0.8476 0.7510
0.0643 0.0505 0.7402
0.9357 0.9495 0.2598
```

Which of them is least stable? Easy: w.

w | The following is a PBE calculation of crystalline Tb7Pr12Sc at its relaxed geometry, from Alexandria.

Output
Density ... 6.84 g cm⁻³

Structure (POSCAR):
```
Tb7Pr12Sc
1.0
0.0488 9.3082 -1.6860
-1.0629 -4.4188 -8.2966
-7.6104 -1.9256 5.2784
Pr Tb Sc
12 7 1
direct
0.3226 0.6170 0.7797
0.4029 0.0564 0.2937
0.7797 0.3226 0.6170
0.2203 0.6774 0.3830
0.5971 0.9436 0.7063
0.2937 0.4029 0.0564
0.6774 0.3830 0.2203
0.0564 0.2937 0.4029
0.6170 0.7797 0.3226
0.9436 0.7063 0.5971
0.3830 0.2203 0.6774
0.7063 0.5971 0.9436
0.5000 0.5000 0.5000
0.3144 0.0058 0.8988
0.1012 0.6856 0.9942
0.0058 0.8988 0.3144
0.8988 0.3144 0.0058
0.9942 0.1012 0.6856
0.6856 0.9942 0.1012
0.0000 0.0000 0.0000
```

x | The following is a PBE calculation of crystalline Tb7Pr12Sc at its relaxed geometry, from Alexandria.

Output
Density ... 6.74 g cm⁻³

Structure (POSCAR):
```
Tb7Pr12Sc
1.0
-5.3054 1.0299 3.1915
-4.2221 -5.0279 -9.5105
5.6264 -6.8223 7.4401
Pr Tb Sc
12 7 1
direct
0.0885 0.1764 0.5881
0.4997 0.5881 0.4118
0.5775 0.6478 0.0000
0.4224 0.0000 0.3522
0.9115 0.8236 0.4119
0.0702 0.6478 0.6478
0.9298 0.3522 0.3522
0.5776 0.0000 0.6478
0.4225 0.3522 0.0000
0.9121 0.4118 0.8236
0.5003 0.4119 0.5882
0.0879 0.5882 0.1764
0.5000 0.0000 0.0000
0.6404 0.7583 0.7582
0.3596 0.2417 0.2418
0.1179 0.0001 0.7583
0.8822 0.2418 0.0001
0.8821 0.9999 0.2417
0.1178 0.7582 0.9999
0.0000 0.0000 0.0000
```

Which of them is least stable? Easy: x.